(1)
{"formula": "BeBP3", "functional": "GGA-PBE", "state": "relaxed", "lattice": [[-1.842, 2.734, 2.536], [1.936, -1.717, 3.256], [3.187, 2.622, -0.512]], "species": ["P", "P", "P", "B", "Be"], "fractional_positions": [[0.000, 0.000, 0.500], [0.500, 0.000, 0.000], [0.000, 0.500, 0.000], [0.500, 0.500, 0.500], [0.000, 0.000, 0.000]], "sg": "Pm-3m (221)", "m_tot_mub_per_atom": 0.000, "e_tot_ev_per_atom": -3.9223, "ef_ev_per_fu": 7.02, "relative_energy_ev_per_atom": 0.352}


(2)
{"formula": "K2Rb3UTe6", "functional": "GGA-PBE", "state": "relaxed", "lattice": [[8.634, 0.033, -0.009], [-4.286, 7.495, -0.009], [-1.459, -2.526, 8.186]], "species": ["Te", "Te", "Te", "Te", "Te", "Te", "Rb", "Rb", "Rb", "U", "K", "K"], "fractional_positions": [[0.350, 0.068, 0.206], [0.650, 0.932, 0.794], [0.797, 0.797, 0.210], [0.932, 0.650, 0.794], [0.203, 0.203, 0.790], [0.068, 0.350, 0.206], [0.181, 0.819, 0.500], [0.500, 0.500, 0.500], [0.819, 0.181, 0.500], [0.000, 0.000, 0.000], [0.335, 0.665, 0.000], [0.665, 0.335, 0.000]], "sg": "C2/m (12)", "m_tot_mub_per_atom": 0.090, "raw_formation_energy_ev_per_atom": -0.846, "e_tot_ev_per_atom": -3.7826}